Entry from OQMD via LeMat-Bulk: SrZnTeO after structural relaxation (GGA-PBE).

```
SrZnTeO
1.0
3.8583 0.0000 0.0000
0.0000 3.8583 0.0000
0.0000 0.0000 11.7706
Sr Zn Te O
2 2 2 2
Direct
0.2500 0.2500 0.1072 Sr
0.7500 0.7500 0.8928 Sr
0.2500 0.7500 0.5000 Zn
0.7500 0.2500 0.5000 Zn
0.2500 0.2500 0.6621 Te
0.7500 0.7500 0.3379 Te
0.2500 0.2500 0.9067 O
0.7500 0.7500 0.0933 O
```

Results
- SG: P4/nmm (129)
- E_tot: -4.075 eV per atom

Entry from OQMD via LeMat-Bulk: SrZnTeO after structural relaxation (GGA-PBE).

```
SrZnTeO
1.0
6.4407 0.0000 0.0000
0.0000 4.2538 0.0000
0.0000 0.0000 14.0359
Sr Zn Te O
4 4 4 4
Direct
0.2380 0.2500 0.1090 Sr
0.2620 0.7500 0.6090 Sr
0.7380 0.2500 0.3910 Sr
0.7620 0.7500 0.8910 Sr
0.1344 0.2500 0.8033 Zn
0.3656 0.7500 0.3033 Zn
0.6344 0.2500 0.6967 Zn
0.8656 0.7500 0.1967 Zn
0.2405 0.2500 0.4095 Te
0.2595 0.7500 0.9095 Te
0.7405 0.2500 0.0905 Te
0.7595 0.7500 0.5905 Te
0.1780 0.7500 0.1917 O
0.3220 0.2500 0.6917 O
0.6780 0.7500 0.3083 O
0.8220 0.2500 0.8083 O
```

Results
- SG: Pnma (62)
- E_tot: -4.353 eV per atom

Entry from OQMD via LeMat-Bulk: SrZnTeO after structural relaxation (GGA-PBE).

```
SrZnTeO
1.0
7.0313 0.0000 0.0000
0.0000 7.1492 0.0000
0.0000 0.0000 7.2408
Sr Zn Te O
4 4 4 4
Direct
0.1086 0.1043 0.3951 Sr
0.3914 0.8957 0.8951 Sr
0.6086 0.3957 0.6049 Sr
0.8914 0.6043 0.1049 Sr
0.1897 0.3112 0.8092 Zn
0.3103 0.6888 0.3092 Zn
0.6897 0.1888 0.1908 Zn
0.8103 0.8112 0.6908 Zn
0.1326 0.6300 0.6289 Te
0.3674 0.3700 0.1289 Te
0.6326 0.8700 0.3711 Te
0.8674 0.1300 0.8711 Te
0.1549 0.8418 0.1583 O
0.3451 0.1582 0.6583 O
0.6549 0.6582 0.8417 O
0.8451 0.3418 0.3417 O
```

Results
- SG: P2_12_12_1 (19)
- E_tot: -4.286 eV per atom

Entry from OQMD via LeMat-Bulk: SrZnTeO after structural relaxation (GGA-PBE).

```
SrZnTeO
1.0
2.1271 -7.0167 0.0000
2.1271 7.0167 0.0000
0.0000 0.0000 6.4496
Sr Zn Te O
2 2 2 2
Direct
0.1433 0.8567 0.5000 Sr
0.8567 0.1433 0.0000 Sr
0.4487 0.5513 0.3724 Zn
0.5513 0.4487 0.8724 Zn
0.1578 0.8422 0.9984 Te
0.8422 0.1578 0.4984 Te
0.4402 0.5598 0.0605 O
0.5598 0.4402 0.5605 O
```

Results
- SG: Cmc2_1 (36)
- E_tot: -4.353 eV per atom

Entry from OQMD via LeMat-Bulk: SrZnTeO after structural relaxation (GGA-PBE).

```
SrZnTeO
1.0
2.0611 -6.9565 0.0000
2.0611 6.9565 0.0000
0.0000 0.0000 6.0673
Sr Zn Te O
2 2 2 2
Direct
0.0868 0.9132 0.7500 Sr
0.9132 0.0868 0.2500 Sr
0.4066 0.5934 0.7500 Zn
0.5934 0.4066 0.2500 Zn
0.2033 0.7967 0.2500 Te
0.7967 0.2033 0.7500 Te
0.5000 0.5000 0.0000 O
0.5000 0.5000 0.5000 O
```

Results
- SG: Cmcm (63)
- E_tot: -4.261 eV per atom

Entry from OQMD via LeMat-Bulk: SrZnTeO after structural relaxation (GGA-PBE).

```
SrZnTeO
1.0
4.2301 0.0000 0.0000
0.0000 4.2301 0.0000
0.0000 0.0000 9.4187
Sr Zn Te O
2 2 2 2
Direct
0.2500 0.2500 0.2401 Sr
0.7500 0.7500 0.7599 Sr
0.2500 0.2500 0.9209 Zn
0.7500 0.7500 0.0791 Zn
0.2500 0.2500 0.6427 Te
0.7500 0.7500 0.3573 Te
0.2500 0.7500 0.0000 O
0.7500 0.2500 0.0000 O
```

Results
- SG: P4/nmm (129)
- E_tot: -4.073 eV per atom

Entry from OQMD via LeMat-Bulk: Sr2ZnO3 after structural relaxation (GGA-PBE).

```
Sr2ZnO3
1.0
-1.7352 1.9999 6.4545
1.7352 -1.9999 6.4545
1.7352 1.9999 -6.4545
Sr Zn O
2 1 3
Direct
0.1504 0.1504 0.0000 Sr
0.8496 0.8496 0.0000 Sr
0.5000 0.5000 0.0000 Zn
0.0000 0.5000 0.5000 O
0.3417 0.3417 0.0000 O
0.6583 0.6583 0.0000 O
```

Results
- SG: Immm (71)
- E_tot: -5.467 eV per atom

Entry from OQMD via LeMat-Bulk: SrZn2O3 after structural relaxation (GGA-PBE).

```
SrZn2O3
1.0
-1.6678 2.1372 5.2496
1.6678 -2.1372 5.2496
1.6678 2.1372 -5.2496
Sr Zn O
1 2 3
Direct
0.0000 0.0000 0.0000 Sr
0.3121 0.3121 0.0000 Zn
0.6879 0.6879 0.0000 Zn
0.1978 0.6978 0.5000 O
0.5000 0.5000 0.0000 O
0.8022 0.3022 0.5000 O
```

Results
- E above lowest polymorph: 0 meV/atom
- SG: Immm (71)